Model a:
The following is a PBE calculation of a geometry-optimized HgSb2SeI structure, from Alexandria via LeMat-Bulk.

Calculated values
As for the density of states at the Fermi level: 0.9949 states/eV per atom. The space group is P4/mmm.

Unit cell a=5.6491 b=5.6491 c=5.5963 alpha=90.00 beta=90.00 gamma=90.00
Sites, in units of the cell vectors:
Se1 0.5000 0.5000 0.5000
Sb1 0.0000 0.5000 0.0000
Sb2 0.5000 0.0000 0.0000
I1 0.0000 0.0000 0.5000
Hg1 0.0000 0.0000 0.0000

***

Model b:
The following is a PBE calculation of a geometry-optimized HgSb2SeI structure, from Alexandria via LeMat-Bulk.

Calculated values
As for the density of states at the Fermi level: 0.9266 states/eV per atom. The space group is P4/mmm.

Unit cell a=5.5221 b=5.5221 c=5.9585 alpha=90.00 beta=90.00 gamma=90.00
Sites, in units of the cell vectors:
Sb1 0.0000 0.5000 0.0000
Sb2 0.5000 0.0000 0.0000
Se1 0.0000 0.0000 0.0000
Hg1 0.5000 0.5000 0.5000
I1 0.0000 0.0000 0.5000

***

Of them, the most stable is model b and the least stable is model a.

***

Model a:
The following is a PBE calculation of a geometry-optimized SiHgSb2I structure, from Alexandria via LeMat-Bulk.

Calculated values
As for the density of states at the Fermi level: 1.1484 states/eV per atom. The space group is P4/mmm.

Unit cell a=5.5202 b=5.5202 c=5.9476 alpha=90.00 beta=90.00 gamma=90.00
Sites, in units of the cell vectors:
Sb1 0.5000 0.0000 0.0000
Sb2 0.0000 0.5000 0.0000
I1 0.0000 0.0000 0.5000
Hg1 0.0000 0.0000 0.0000
Si1 0.5000 0.5000 0.5000

***

Model b:
The following is a PBE calculation of a geometry-optimized SiHgSb2I structure, from Alexandria via LeMat-Bulk.

Calculated values
As for the density of states at the Fermi level: 0.9763 states/eV per atom. The space group is P4/mmm.

Unit cell a=5.3030 b=5.3030 c=5.6486 alpha=90.00 beta=90.00 gamma=90.00
Sites, in units of the cell vectors:
Sb1 0.0000 0.5000 0.0000
Sb2 0.5000 0.0000 0.0000
Si1 0.0000 0.0000 0.0000
Hg1 0.5000 0.5000 0.5000
I1 0.0000 0.0000 0.5000

***

Of them, the most stable is model b and the least stable is model a.